Compound: YRhW
Source: Alexandria
Functional: PBE-GGA
Structure: relaxed

a b c (Å): 4.485 7.749 6.960
angles (deg): 90.00 90.00 90.00
Fractional coordinates of all 12 atoms:
Y: 0.250 0.184 0.587
Y: 0.750 0.816 0.587
Y: 0.750 0.684 0.087
Y: 0.250 0.316 0.087
Rh: 0.250 0.604 0.776
Rh: 0.750 0.396 0.776
Rh: 0.750 0.104 0.276
Rh: 0.250 0.896 0.276
W: 0.250 0.911 0.918
W: 0.750 0.089 0.918
W: 0.750 0.411 0.418
W: 0.250 0.589 0.418

Volume   241.89 Å³/cell
Total energy   -9.08 eV per atom
Excess energy over the best structure of this formula in the dataset   176 meV/atom